No. 1
Computed, not measured: crystalline BeTcMoRh at its relaxed geometry at the PBE level of DFT.

Calculated values
- ΔE_f: -0.119 eV/atom
- E: -8.19 eV/atom
- Total magnetization: 0.00 μB per cell

Lattice parameters (Å, degrees): 4.251 4.251 4.251 60.00 60.00 60.00
Atoms (fractional coordinates):
1 Be 0.000 0.000 0.000
2 Tc 0.750 0.750 0.750
3 Mo 0.500 0.500 0.500
4 Rh 0.250 0.250 0.250


No. 2
Computed, not measured: crystalline Cs8Tl3O8 at its relaxed geometry at the PBE level of DFT.

Calculated values
- ΔE_f (raw): -0.970 eV/atom
- E: -3.79 eV/atom
- Total magnetization: 0.99 μB per cell

Lattice parameters (Å, degrees): 11.790 11.790 10.466 111.34 111.34 28.84
Atoms (fractional coordinates):
1 Cs 0.037 0.037 0.222
2 Cs 0.192 0.192 0.839
3 Cs 0.326 0.326 0.529
4 Cs 0.401 0.401 0.079
5 Cs 0.599 0.599 0.921
6 Cs 0.674 0.674 0.471
7 Cs 0.808 0.808 0.161
8 Cs 0.963 0.963 0.778
9 Tl 0.191 0.191 0.188
10 Tl 0.500 0.500 0.500
11 Tl 0.809 0.809 0.812
12 O 0.107 0.107 0.005
13 O 0.181 0.181 0.378
14 O 0.278 0.278 0.158
15 O 0.479 0.479 0.686
16 O 0.521 0.521 0.314
17 O 0.722 0.722 0.842
18 O 0.819 0.819 0.622
19 O 0.893 0.893 0.995


No. 3
Computed, not measured: crystalline DyY4Sc3 at its relaxed geometry at the PBE level of DFT.

Calculated values
- ΔE_f: 0.446 eV/atom
- E: -5.74 eV/atom
- Total magnetization: 4.66 μB per cell
- E above lowest polymorph: 382 meV/atom

Lattice parameters (Å, degrees): 8.586 8.586 3.312 90.00 90.00 96.45
Atoms (fractional coordinates):
1 Dy 0.000 0.000 0.000
2 Y 0.259 0.259 0.500
3 Y 0.259 0.741 0.000
4 Y 0.741 0.259 0.000
5 Y 0.741 0.741 0.500
6 Sc 0.000 0.500 0.500
7 Sc 0.500 0.000 0.500
8 Sc 0.500 0.500 0.000


No. 4
Computed, not measured: crystalline AcDyZr2 at its relaxed geometry at the PBE level of DFT.

Calculated values
- ΔE_f: 0.404 eV/atom
- E: -6.05 eV/atom
- Total magnetization: 0.00 μB per cell

Lattice parameters (Å, degrees): 12.069 12.069 12.069 16.12 16.12 16.12
Atoms (fractional coordinates):
1 Ac 0.000 0.000 0.000
2 Dy 0.500 0.500 0.500
3 Zr 0.092 0.092 0.092
4 Zr 0.908 0.908 0.908


No. 5
Computed, not measured: crystalline CeEr7Pb4 at its relaxed geometry at the PBE level of DFT.

Calculated values
- ΔE_f: -0.029 eV/atom
- E: -4.42 eV/atom
- Total magnetization: 1.38 μB per cell

Lattice parameters (Å, degrees): 7.625 7.625 11.304 122.65 122.65 43.21
Atoms (fractional coordinates):
1 Ce 0.000 0.000 0.000
2 Er 0.075 0.075 0.349
3 Er 0.212 0.212 0.881
4 Er 0.346 0.346 0.420
5 Er 0.500 0.500 0.000
6 Er 0.654 0.654 0.580
7 Er 0.788 0.788 0.119
8 Er 0.925 0.925 0.651
9 Pb 0.292 0.292 0.672
10 Pb 0.424 0.424 0.221
11 Pb 0.576 0.576 0.779
12 Pb 0.708 0.708 0.328


No. 6
Computed, not measured: crystalline Sc4BiRh at its relaxed geometry at the PBE level of DFT.

Calculated values
- ΔE_f: -0.573 eV/atom
- E: -6.67 eV/atom
- Total magnetization: 0.00 μB per cell
- E above lowest polymorph: 0 meV/atom

Lattice parameters (Å, degrees): 5.361 6.178 8.189 90.00 99.90 90.00
Atoms (fractional coordinates):
1 Sc 0.138 0.250 0.051
2 Sc 0.206 0.750 0.338
3 Sc 0.323 0.508 0.756
4 Sc 0.323 0.992 0.756
5 Sc 0.677 0.008 0.244
6 Sc 0.677 0.492 0.244
7 Sc 0.794 0.250 0.662
8 Sc 0.862 0.750 0.949
9 Bi 0.226 0.250 0.425
10 Bi 0.774 0.750 0.575
11 Rh 0.359 0.750 0.038
12 Rh 0.641 0.250 0.962